No. 1
# TbP3O9

A geometry-optimized TbP3O9 structure (PBE, Alexandria via LeMat-Bulk).

As for the uncorrected formation energy: -2511 meV/atom. The density of states at the Fermi level comes out at 0.00 states/eV/cell. The calculation puts the final energy at -7.55 eV per atom.

The structure belongs to space group C222_1 (No. 20); the cell edges are 8.4903, 11.1127 and 7.2557 Å and the angles 90.00°, 90.00° and 90.00°. The distinct sites, in fractional coordinates, are Tb at (0.1254, 0.0000, 0.0000), P at (0.0124, 0.3222, 0.4570), P at (0.2498, 0.0000, 0.5000), O at (0.0000, 0.3711, 0.2500), O at (0.0183, 0.1904, 0.0309), O at (0.1381, 0.3896, 0.9530), O at (0.1510, 0.0191, 0.6718) and O at (0.1604, 0.3729, 0.5368).



No. 2
# TbPO4

A geometry-optimized TbPO4 structure (PBE, Alexandria via LeMat-Bulk).

As for the uncorrected formation energy: -2546 meV/atom. The density of states at the Fermi level comes out at 0.00 states/eV/cell. The calculation puts the final energy at -7.53 eV per atom.

The structure belongs to space group Pbcm (No. 57); the cell edges are 4.9705, 6.9400 and 6.8335 Å and the angles 90.00°, 90.00° and 90.00°. The distinct sites, in fractional coordinates, are Tb at (0.0112, 0.1898, 0.2500), P at (0.5000, 0.0000, 0.0000), O at (0.2079, 0.5750, 0.5640), O at (0.3527, 0.2500, 0.0000) and O at (0.3845, 0.5243, 0.2500).



No. 3
# Tb12P3O5

A geometry-optimized Tb12P3O5 structure (PBE, Alexandria via LeMat-Bulk).

As for the uncorrected formation energy: -1772 meV/atom. The density of states at the Fermi level comes out at 137.11 states/eV/cell. The calculation puts the final energy at -6.60 eV per atom.

The structure belongs to space group Ia-3d (No. 230); the cell edges are 15.0985, 15.0985 and 15.0985 Å and the angles 90.00°, 90.00° and 90.00°. The distinct sites, in fractional coordinates, are Tb at (0.0348, 0.0548, 0.6507), P at (0.0000, 0.2500, 0.1250), O at (0.0000, 0.0000, 0.0000) and O at (0.0000, 0.2500, 0.3750).



No. 4
# Tb2PO5

A geometry-optimized Tb2PO5 structure (PBE, Alexandria via LeMat-Bulk).

As for the uncorrected formation energy: -2830 meV/atom. The density of states at the Fermi level comes out at 2.06 states/eV/cell. The calculation puts the final energy at -7.76 eV per atom.

The structure belongs to space group P2_1/c (No. 14); the cell edges are 4.1474, 9.7846 and 10.5066 Å and the angles 90.00°, 90.11° and 90.00°. The distinct sites, in fractional coordinates, are Tb at (0.2253, 0.0500, 0.1298), Tb at (0.2405, 0.6788, 0.0602), P at (0.3496, 0.1579, 0.7203), O at (0.2372, 0.2272, 0.3174), O at (0.2405, 0.0080, 0.7455), O at (0.2422, 0.6046, 0.4810), O at (0.2677, 0.2132, 0.5856) and O at (0.2839, 0.6578, 0.7556).



No. 5
# Tb8Te4P3O

A geometry-optimized Tb8Te4P3O structure (PBE, Alexandria via LeMat-Bulk).

As for the uncorrected formation energy: -1621 meV/atom. The density of states at the Fermi level comes out at 18.14 states/eV/cell. The calculation puts the final energy at -6.05 eV per atom.

The structure belongs to space group R-3m (No. 166, hexagonal axes); the cell edges are 8.0918, 8.0918 and 21.1913 Å and the angles 90.00°, 90.00° and 120.00°. The distinct sites, in fractional coordinates, are Tb at (0.0000, 0.0000, 0.2364), Tb at (0.0124, 0.5062, 0.2335), Te at (0.0000, 0.0000, 0.0000), Te at (0.0000, 0.5000, 0.0000), P at (0.0000, 0.5000, 0.5000) and O at (0.0000, 0.0000, 0.5000).



Which value of final energy does entry 4 give?
-7.76 eV per atom



The highest final energy belongs to which entry?
Tb8Te4P3O



Look up the final energy of the second one.
-7.53 eV per atom



final energy of number 2 (TbPO4)?
-7.53 eV per atom